TbHoIn2Ni4 PBE optimized geometry; VASP energy = -40.650 eV/cell
1.0
-2.932 -2.662 0.525
1.647 -2.608 -4.030
4.164 -3.770 4.142
Ni Tb In Ho
4 1 2 1
Direct
0.500 0.000 0.888 Ni
0.000 0.749 0.999 Ni
0.000 0.251 0.999 Ni
0.500 0.500 0.111 Ni
0.500 0.000 0.269 Tb
0.000 0.500 0.356 In
0.000 0.000 0.645 In
0.500 0.500 0.733 Ho